4
Lattice="8.213 -0.015 -0.009 7.594 3.127 -0.009 7.594 1.496 2.747" Properties=species:S:1:pos:R:3 comment="Be2AgBr, optimized geometry, DFT PBE" dos_at_fermi_per_ev_cell=2.60 formation_energy_uncorrected_mev_per_atom=362 total_energy_ev_per_atom=-2.63 relative_energy_mev_per_atom=184 pbc="T T T"
Be 23.167 4.562 2.702
Be 5.965 1.175 0.696
Br 12.423 2.446 1.449
Ag 16.947 3.337 1.977